# MnHg2F2, optimized geometry, DFT PBE with a Hubbard U
# E above lowest polymorph = 0.00 eV/f.u.
# DOS at the Fermi energy = 0.66 states/eV per cell
data_MnHg2F2
_chemical_formula_sum 'Mn2 Hg4 F4'
_cell_length_a 5.888
_cell_length_b 3.399
_cell_length_c 11.730
_cell_angle_alpha 90.00
_cell_angle_beta 90.81
_cell_angle_gamma 90.00
_space_group_name_H-M_alt 'C 1 2/m 1'
_space_group_IT_number 12
loop_
_space_group_symop_operation_xyz
'x,y,z'
'-x,-y,-z'
'-x,y,-z'
'x,-y,z'
'x+1/2,y+1/2,z'
'-x+1/2,-y+1/2,-z'
'-x+1/2,y+1/2,-z'
'x+1/2,-y+1/2,z'
loop_
_atom_site_label
_atom_site_type_symbol
_atom_site_fract_x
_atom_site_fract_y
_atom_site_fract_z
Mn1 Mn 0.000 0.000 0.000
Hg1 Hg 0.164 0.500 0.373
F1 F 0.164 0.500 0.920